Record 1
A plane-wave DFT calculation with PBEsol was carried out for an optimized crystal structure of TlOsSe2.

As for the crystal system: tetragonal. The density of states at the Fermi level comes out at 3.24 states/eV per cell. The calculation puts the excess energy over the best structure of this formula in the dataset at 93.9 meV per atom. For the density, the calculation gives 11.4 g cm⁻³. The uncorrected formation energy comes out at 1.0 eV per formula unit.

Cell and atoms, written as POSCAR:
```
TlOsSe2
1.0
3.0696 0.0000 0.0000
0.0000 3.0696 0.0000
0.0000 0.0000 8.5236
Tl Os Se
1 1 2
Cartesian
0.0000 0.0000 0.0000 Tl
0.0000 0.0000 4.2618 Os
1.5348 1.5348 2.7311 Se
1.5348 1.5348 5.7925 Se
```


Record 2
A plane-wave DFT calculation with PBEsol was carried out for an optimized crystal structure of Tl2OsSe.

As for the crystal system: tetragonal. The density of states at the Fermi level comes out at 2.44 states/eV per cell. For the density, the calculation gives 14.1 g cm⁻³. The uncorrected formation energy comes out at 3.6 eV per formula unit.

Cell and atoms, written as POSCAR:
```
Tl2OsSe
1.0
-2.2195 2.2195 4.0453
2.2195 -2.2195 4.0453
2.2195 2.2195 -4.0453
Tl Os Se
2 1 1
Cartesian
0.0000 0.0000 0.0000 Tl
0.0000 2.2195 2.0227 Tl
0.0000 0.0000 4.0453 Os
2.2195 0.0000 2.0227 Se
```


Record 3
A plane-wave DFT calculation with PBEsol was carried out for an optimized crystal structure of TlOsSe2.

As for the crystal system: tetragonal. The density of states at the Fermi level comes out at 1.12 states/eV per cell. The calculation puts the excess energy over the best structure of this formula in the dataset at 162.0 meV per atom. For the density, the calculation gives 11.1 g cm⁻³. The uncorrected formation energy comes out at 1.3 eV per formula unit.

Cell and atoms, written as POSCAR:
```
TlOsSe2
1.0
3.0121 0.0000 0.0000
0.0000 3.0121 0.0000
0.0000 0.0000 9.1035
Tl Os Se
1 1 2
Cartesian
0.0000 0.0000 0.0000 Tl
1.5061 1.5061 2.3719 Os
0.0000 0.0000 3.6383 Se
1.5061 1.5061 6.5592 Se
```


Record 4
A plane-wave DFT calculation with PBEsol was carried out for an optimized crystal structure of TlOsSe2.

As for the crystal system: orthorhombic. The density of states at the Fermi level comes out at 1.79 states/eV per cell. The calculation puts the excess energy over the best structure of this formula in the dataset at 0.0 meV per atom. For the density, the calculation gives 9.6 g cm⁻³. The uncorrected formation energy comes out at 0.6 eV per formula unit.

Cell and atoms, written as POSCAR:
```
TlOsSe2
1.0
3.7149 0.0000 0.0000
0.0000 2.2325 5.7675
0.0000 -2.2325 5.7675
Tl Os Se
1 1 2
Cartesian
0.0000 0.0000 0.0000 Tl
1.8575 0.0000 9.1817 Os
0.0000 0.0000 7.7303 Se
1.8575 0.0000 4.3180 Se
```


Record 5
A plane-wave DFT calculation with PBEsol was carried out for an optimized crystal structure of TlOsSe2.

As for the crystal system: orthorhombic. The density of states at the Fermi level comes out at 2.07 states/eV per cell. The calculation puts the excess energy over the best structure of this formula in the dataset at 665.7 meV per atom. For the density, the calculation gives 12.3 g cm⁻³. The uncorrected formation energy comes out at 3.3 eV per formula unit.

Cell and atoms, written as POSCAR:
```
TlOsSe2
1.0
2.8426 -3.9148 0.0000
2.8426 3.9148 0.0000
0.0000 0.0000 3.3555
Tl Os Se
1 1 2
Cartesian
0.0000 0.0000 0.0000 Tl
2.8426 0.0000 0.0000 Os
1.4213 1.9574 1.6778 Se
1.4213 -1.9574 1.6778 Se
```


Record 6
A plane-wave DFT calculation with PBEsol was carried out for an optimized crystal structure of OsWSe2.

As for the crystal system: tetragonal. The density of states at the Fermi level comes out at 3.53 states/eV per cell. For the density, the calculation gives 14.7 g cm⁻³. The uncorrected formation energy comes out at 2.2 eV per formula unit.

Cell and atoms, written as POSCAR:
```
OsWSe2
1.0
3.1090 0.0000 0.0000
0.0000 3.1090 0.0000
0.0000 0.0000 6.1993
Os W Se
1 1 2
Cartesian
0.0000 0.0000 0.0000 Os
0.0000 0.0000 3.0996 W
1.5545 1.5545 1.5842 Se
1.5545 1.5545 4.6150 Se
```


Record 7
A plane-wave DFT calculation with PBEsol was carried out for an optimized crystal structure of Os2WSe.

As for the crystal system: orthorhombic. The density of states at the Fermi level comes out at 1.70 states/eV per cell. For the density, the calculation gives 18.2 g cm⁻³. The uncorrected formation energy comes out at 1.9 eV per formula unit.

Cell and atoms, written as POSCAR:
```
Os2WSe
1.0
-1.4716 2.2175 4.4859
1.4716 -2.2175 4.4859
1.4716 2.2175 -4.4859
Os W Se
2 1 1
Cartesian
0.0000 0.0000 0.0000 Os
0.0000 2.2175 2.0235 Os
0.0000 0.0000 4.0681 W
1.4716 0.0000 1.9838 Se
```


Record 8
A plane-wave DFT calculation with PBEsol was carried out for an optimized crystal structure of Os2WSe.

As for the crystal system: monoclinic. The density of states at the Fermi level comes out at 2.41 states/eV per cell. For the density, the calculation gives 17.3 g cm⁻³. The uncorrected formation energy comes out at 1.8 eV per formula unit.

Cell and atoms, written as POSCAR:
```
Os2WSe
1.0
4.8246 -1.4536 0.0000
4.8246 1.4536 0.0000
-0.2448 0.0000 4.3927
Os W Se
2 1 1
Cartesian
0.0000 0.0000 0.0000 Os
6.9700 0.0000 0.8078 Os
2.6489 0.0000 3.2047 W
4.8647 0.0000 2.0468 Se
```